#w
PBE MgGe2Bi2, optimized geometry; Fermi-level density of states = 4.55 states/eV/cell; total magnetization = 0.0 Bohr magnetons per cell
1.0
8.3710 0.0000 0.0000
0.0000 8.3710 0.0000
0.0000 0.0000 3.8567
Mg Ge Bi
2 4 4
direct
0.0000 0.0000 0.0000
0.5000 0.5000 0.0000
0.1188 0.3812 0.5000
0.3812 0.8812 0.5000
0.6188 0.1188 0.5000
0.8812 0.6188 0.5000
0.1724 0.6724 0.0000
0.3276 0.1724 0.0000
0.6724 0.8276 0.0000
0.8276 0.3276 0.0000

=====

#x
PBE MgGe2Bi2, optimized geometry; Fermi-level density of states = 4.34 states/eV/cell; total magnetization = 0.0 Bohr magnetons per cell
1.0
7.0009 0.0000 0.0000
0.0000 7.0009 0.0000
0.0000 0.0000 5.2694
Mg Ge Bi
2 4 4
direct
0.0000 0.0000 0.0000
0.5000 0.5000 0.0000
0.1275 0.3725 0.0000
0.3725 0.8725 0.0000
0.6275 0.1275 0.0000
0.8725 0.6275 0.0000
0.2207 0.7207 0.5000
0.2793 0.2207 0.5000
0.7207 0.7793 0.5000
0.7793 0.2793 0.5000

=====

#y
PBE MgGe2Bi2, optimized geometry; Fermi-level density of states = 4.86 states/eV/cell; total magnetization = 0.0 Bohr magnetons per cell
1.0
5.8495 0.0000 0.0000
0.0000 5.8495 0.0000
0.0000 0.0000 7.9410
Mg Ge Bi
2 4 4
direct
0.0000 0.0000 0.0000
0.5000 0.5000 0.5000
0.0000 0.0000 0.3411
0.0000 0.0000 0.6589
0.5000 0.5000 0.1589
0.5000 0.5000 0.8411
0.0000 0.5000 0.2500
0.0000 0.5000 0.7500
0.5000 0.0000 0.2500
0.5000 0.0000 0.7500

=====

Best to worst by energy: #x, #y, #w.

=====

#w
PBE MgGeBi3, optimized geometry; Fermi-level density of states = 4.14 states/eV/cell; total magnetization = 0.0 Bohr magnetons per cell
1.0
5.4865 0.0000 0.0000
0.0000 5.4865 0.0000
0.0000 0.0000 5.4865
Mg Ge Bi
1 1 3
direct
0.0000 0.0000 0.0000
0.5000 0.5000 0.5000
0.0000 0.0000 0.5000
0.0000 0.5000 0.0000
0.5000 0.0000 0.0000

=====

#x
PBE MgGeBi3, optimized geometry; Fermi-level density of states = 5.05 states/eV/cell; total magnetization = 0.0 Bohr magnetons per cell
1.0
5.5580 0.0000 0.0000
0.0000 5.5580 0.0000
0.0000 0.0000 5.5580
Mg Ge Bi
1 1 3
direct
0.0000 0.0000 0.0000
0.5000 0.5000 0.5000
0.0000 0.5000 0.5000
0.5000 0.0000 0.5000
0.5000 0.5000 0.0000

=====

Best to worst by energy: #x, #w.

=====

#w
PBE Mg3GeBi, optimized geometry; Fermi-level density of states = 4.08 states/eV/cell; total magnetization = 0.0 Bohr magnetons per cell
1.0
5.0743 0.0000 0.0000
0.0000 5.0743 0.0000
0.0000 0.0000 5.0743
Mg Ge Bi
3 1 1
direct
0.0000 0.0000 0.5000
0.0000 0.5000 0.0000
0.5000 0.0000 0.0000
0.0000 0.0000 0.0000
0.5000 0.5000 0.5000

=====

#x
PBE Mg3GeBi, optimized geometry; Fermi-level density of states = 3.11 states/eV/cell; total magnetization = 0.9 Bohr magnetons per cell
1.0
5.4294 0.0000 0.0000
0.0000 5.4294 0.0000
0.0000 0.0000 5.4294
Mg Ge Bi
3 1 1
direct
0.0000 0.0000 0.5000
0.0000 0.5000 0.0000
0.5000 0.0000 0.0000
0.5000 0.5000 0.5000
0.0000 0.0000 0.0000

=====

Best to worst by energy: #w, #x.

=====

#w
PBE Mg2Ge2Bi, optimized geometry; Fermi-level density of states = 5.08 states/eV/cell; total magnetization = 0.0 Bohr magnetons per cell
1.0
8.4039 0.0000 0.0000
0.0000 8.4039 0.0000
0.0000 0.0000 3.1755
Mg Ge Bi
4 4 2
direct
0.1383 0.3617 0.0000
0.3617 0.8617 0.0000
0.6383 0.1383 0.0000
0.8617 0.6383 0.0000
0.1571 0.6571 0.5000
0.3429 0.1571 0.5000
0.6571 0.8429 0.5000
0.8429 0.3429 0.5000
0.0000 0.0000 0.5000
0.5000 0.5000 0.5000

=====

#x
PBE Mg2Ge2Bi, optimized geometry; Fermi-level density of states = 4.60 states/eV/cell; total magnetization = 0.0 Bohr magnetons per cell
1.0
4.6275 0.0000 0.0000
0.0000 4.6275 0.0000
0.0000 0.0000 10.8667
Mg Ge Bi
4 4 2
direct
0.0000 0.5000 0.2500
0.0000 0.5000 0.7500
0.5000 0.0000 0.2500
0.5000 0.0000 0.7500
0.0000 0.0000 0.1113
0.0000 0.0000 0.8887
0.5000 0.5000 0.3887
0.5000 0.5000 0.6113
0.0000 0.0000 0.5000
0.5000 0.5000 0.0000

=====

Best to worst by energy: #w, #x.

=====

#w
PBE GeBiMo3, optimized geometry; Fermi-level density of states = 5.91 states/eV/cell; total magnetization = 6.6 Bohr magnetons per cell
1.0
5.1338 0.0000 0.0000
0.0000 5.1338 0.0000
0.0000 0.0000 5.1338
Ge Bi Mo
1 1 3
direct
0.0000 0.0000 0.0000
0.5000 0.5000 0.5000
0.0000 0.5000 0.5000
0.5000 0.0000 0.5000
0.5000 0.5000 0.0000

=====

#x
PBE GeBiMo3, optimized geometry; Fermi-level density of states = 7.59 states/eV/cell; total magnetization = 0.0 Bohr magnetons per cell
1.0
4.6964 0.0000 0.0000
0.0000 4.6964 0.0000
0.0000 0.0000 4.6964
Ge Bi Mo
1 1 3
direct
0.0000 0.0000 0.0000
0.5000 0.5000 0.5000
0.0000 0.0000 0.5000
0.0000 0.5000 0.0000
0.5000 0.0000 0.0000

=====

Best to worst by energy: #x, #w.

=====

#w
PBE GeBi3Mo, optimized geometry; Fermi-level density of states = 3.19 states/eV/cell; total magnetization = 0.9 Bohr magnetons per cell
1.0
5.3855 0.0000 0.0000
0.0000 5.3855 0.0000
0.0000 0.0000 5.3855
Ge Bi Mo
1 3 1
direct
0.0000 0.0000 0.0000
0.0000 0.5000 0.5000
0.5000 0.0000 0.5000
0.5000 0.5000 0.0000
0.5000 0.5000 0.5000

=====

#x
PBE GeBi3Mo, optimized geometry; Fermi-level density of states = 4.71 states/eV/cell; total magnetization = 3.9 Bohr magnetons per cell
1.0
5.4678 0.0000 0.0000
0.0000 5.4678 0.0000
0.0000 0.0000 5.4678
Ge Bi Mo
1 3 1
direct
0.0000 0.0000 0.0000
0.0000 0.0000 0.5000
0.0000 0.5000 0.0000
0.5000 0.0000 0.0000
0.5000 0.5000 0.5000

=====

Best to worst by energy: #w, #x.